A relaxed structure of Zr4CoTc, computed with PBE.

POSCAR file:
```
Zr4CoTc
1.0
0.000 3.930 3.930
3.930 0.000 3.930
3.930 3.930 0.000
Zr Co Tc
4 1 1
direct
0.376 0.376 0.376
0.376 0.376 0.873
0.376 0.873 0.376
0.873 0.376 0.376
0.000 0.000 0.000
0.750 0.750 0.750
```

Properties
Density of states at the Fermi level   1.750 states/eV/atom
Formation energy   0.771 eV/atom
Space-group type   F-43m
Relative energy among the computed polymorphs   981 meV/atom
Density   7.137 g cm⁻³
Raw total energy   -7.8395 eV/atom

=====

A relaxed structure of CoTe, computed with PBE.

POSCAR file:
```
CoTe
1.0
10.481 0.000 0.000
0.000 10.481 0.000
0.000 0.000 3.883
Co Te
8 8
direct
0.049 0.380 0.000
0.108 0.699 0.500
0.301 0.108 0.500
0.380 0.951 0.000
0.620 0.049 0.000
0.699 0.892 0.500
0.892 0.301 0.500
0.951 0.620 0.000
0.123 0.258 0.500
0.182 0.574 0.000
0.258 0.877 0.500
0.426 0.182 0.000
0.574 0.818 0.000
0.742 0.123 0.500
0.818 0.426 0.000
0.877 0.742 0.500
```

Properties
Formation energy from raw total energies   0.006 eV/atom
Density of states at the Fermi level   1.031 states/eV/atom
Space-group type   P4/m
Density   5.809 g cm⁻³
Raw total energy   -5.1176 eV/atom

=====

A relaxed structure of CoTe2, computed with PBE.

POSCAR file:
```
CoTe2
1.0
1.920 -6.918 0.000
1.920 6.918 0.000
0.000 0.000 5.252
Co Te
2 4
direct
0.170 0.830 0.750
0.830 0.170 0.250
0.204 0.796 0.250
0.446 0.554 0.250
0.554 0.446 0.750
0.796 0.204 0.750
```

Properties
Formation energy from raw total energies   -0.121 eV/atom
Density of states at the Fermi level   0.571 states/eV/atom
Space-group type   Cmcm
Density   7.476 g cm⁻³
Raw total energy   -4.5843 eV/atom

=====

A relaxed structure of Co5Te6, computed with PBE.

POSCAR file:
```
Co5Te6
1.0
3.365 1.943 5.311
-3.365 1.943 5.311
0.000 -3.886 5.311
Co Te
5 6
direct
0.000 0.000 0.000
0.167 0.167 0.167
0.339 0.339 0.339
0.661 0.661 0.661
0.833 0.833 0.833
0.077 0.418 0.749
0.251 0.923 0.582
0.418 0.749 0.077
0.582 0.251 0.923
0.749 0.077 0.418
0.923 0.582 0.251
```

Properties
Formation energy from raw total energies   -0.116 eV/atom
Density of states at the Fermi level   0.806 states/eV/atom
Space-group type   R-3
Density   8.451 g cm⁻³
Raw total energy   -5.0598 eV/atom

=====

A relaxed structure of CoTe3, computed with PBE.

POSCAR file:
```
CoTe3
1.0
3.915 -8.119 0.000
3.915 8.119 0.000
0.000 0.000 4.020
Co Te
2 6
direct
0.028 0.972 0.750
0.972 0.028 0.250
0.090 0.355 0.250
0.355 0.090 0.750
0.398 0.602 0.750
0.602 0.398 0.250
0.645 0.910 0.250
0.910 0.645 0.750
```

Properties
Formation energy from raw total energies   0.301 eV/atom
Density of states at the Fermi level   1.028 states/eV/atom
Space-group type   Cmcm
Density   5.740 g cm⁻³
Raw total energy   -3.8318 eV/atom

=====

A relaxed structure of CoTe7, computed with PBE.

POSCAR file:
```
CoTe7
1.0
0.000 4.752 4.752
4.752 0.000 4.752
4.752 4.752 0.000
Co Te
1 7
direct
0.000 0.000 0.000
0.000 0.000 0.500
0.000 0.500 0.000
0.000 0.500 0.500
0.500 0.000 0.000
0.500 0.000 0.500
0.500 0.500 0.000
0.500 0.500 0.500
```

Properties
Formation energy from raw total energies   0.646 eV/atom
Density of states at the Fermi level   1.578 states/eV/atom
Space-group type   Fm-3m
Density   7.365 g cm⁻³
Raw total energy   -2.9914 eV/atom

=====

A relaxed structure of CoTe4, computed with PBE.

POSCAR file:
```
CoTe4
1.0
-2.027 2.027 9.959
2.027 -2.027 9.959
2.027 2.027 -9.959
Co Te
1 4
direct
0.000 0.000 0.000
0.250 0.750 0.500
0.431 0.431 0.000
0.569 0.569 0.000
0.750 0.250 0.500
```

Properties
Formation energy from raw total energies   0.541 eV/atom
Density of states at the Fermi level   0.775 states/eV/atom
Space-group type   I4/mmm
Relative energy among the computed polymorphs   589 meV/atom
Density   5.775 g cm⁻³
Raw total energy   -3.3931 eV/atom

=====

A relaxed structure of CoTe5, computed with PBE.

POSCAR file:
```
CoTe5
1.0
3.406 0.000 0.000
0.000 3.406 0.000
0.000 0.000 13.320
Co Te
1 5
direct
0.000 0.000 0.000
0.000 0.000 0.334
0.000 0.000 0.666
0.500 0.500 0.110
0.500 0.500 0.500
0.500 0.500 0.890
```

Properties
Formation energy from raw total energies   0.334 eV/atom
Density of states at the Fermi level   0.791 states/eV/atom
Space-group type   P4/mmm
Relative energy among the computed polymorphs   291 meV/atom
Density   7.491 g cm⁻³
Raw total energy   -3.4684 eV/atom

=====

A relaxed structure of CoTe3, computed with PBE.

POSCAR file:
```
CoTe3
1.0
3.129 0.000 0.000
0.000 3.157 0.000
0.000 0.000 11.177
Co Te
1 3
direct
0.000 0.000 0.000
0.000 0.500 0.476
0.500 0.000 0.814
0.500 0.500 0.121
```

Properties
Formation energy from raw total energies   0.074 eV/atom
Density of states at the Fermi level   0.622 states/eV/atom
Space-group type   Pmm2
Density   6.645 g cm⁻³
Raw total energy   -4.0589 eV/atom

=====

A relaxed structure of CoTe2, computed with PBE.

POSCAR file:
```
CoTe2
1.0
4.472 0.000 0.000
0.000 4.472 0.000
0.000 0.000 3.405
Co Te
1 2
direct
0.000 0.000 0.000
0.000 0.500 0.500
0.500 0.000 0.500
```

Properties
Formation energy from raw total energies   0.364 eV/atom
Density of states at the Fermi level   0.912 states/eV/atom
Space-group type   P4/mmm
Density   7.659 g cm⁻³
Raw total energy   -4.0994 eV/atom

=====

A relaxed structure of CoTe, computed with PBE.

POSCAR file:
```
CoTe
1.0
-5.079 5.079 1.913
5.079 -5.079 1.913
5.079 5.079 -1.913
Co Te
4 4
direct
0.167 0.286 0.453
0.286 0.833 0.119
0.714 0.167 0.881
0.833 0.714 0.547
0.073 0.717 0.789
0.283 0.073 0.356
0.717 0.927 0.644
0.927 0.283 0.211
```

Properties
Formation energy from raw total energies   0.046 eV/atom
Density of states at the Fermi level   0.880 states/eV/atom
Space-group type   I4/m
Density   6.278 g cm⁻³
Raw total energy   -5.0781 eV/atom

=====

A relaxed structure of Co2Te, computed with PBE.

POSCAR file:
```
Co2Te
1.0
6.413 0.000 0.000
-3.206 5.554 0.000
0.000 0.000 3.642
Co Te
6 3
direct
0.000 0.259 0.000
0.000 0.607 0.500
0.259 0.000 0.000
0.393 0.393 0.500
0.607 0.000 0.500
0.741 0.741 0.000
0.000 0.000 0.500
0.333 0.667 0.000
0.667 0.333 0.000
```

Properties
Formation energy from raw total energies   0.230 eV/atom
Density of states at the Fermi level   1.349 states/eV/atom
Space-group type   P-62m
Relative energy among the computed polymorphs   269 meV/atom
Density   9.428 g cm⁻³
Raw total energy   -5.5540 eV/atom

=====

A relaxed structure of CoTe3, computed with PBE.

POSCAR file:
```
CoTe3
1.0
5.212 0.000 0.000
0.000 5.212 0.000
0.000 0.000 3.514
Co Te
1 3
direct
0.000 0.000 0.000
0.000 0.500 0.500
0.500 0.000 0.500
0.500 0.500 0.000
```

Properties
Formation energy from raw total energies   0.668 eV/atom
Density of states at the Fermi level   1.542 states/eV/atom
Space-group type   P4/mmm
Density   7.684 g cm⁻³
Raw total energy   -3.4648 eV/atom

=====

A relaxed structure of CoTe3, computed with PBE.

POSCAR file:
```
CoTe3
1.0
-2.982 2.982 2.982
2.982 -2.982 2.982
2.982 2.982 -2.982
Co Te
1 3
direct
0.000 0.000 0.000
0.000 0.500 0.500
0.500 0.000 0.500
0.500 0.500 0.000
```

Properties
Formation energy from raw total energies   0.329 eV/atom
Density of states at the Fermi level   0.418 states/eV/atom
Space-group type   Im-3m
Density   6.919 g cm⁻³
Raw total energy   -3.8033 eV/atom

=====

A relaxed structure of Co19Te34, computed with PBE.

POSCAR file:
```
Co19Te34
1.0
8.579 0.000 0.000
-1.588 9.253 0.000
-0.902 -0.207 14.771
Co Te
19 34
direct
0.000 0.000 0.000
0.058 0.677 0.237
0.059 0.177 0.236
0.120 0.350 0.470
0.174 0.527 0.707
0.235 0.699 0.943
0.291 0.880 0.177
0.353 0.055 0.413
0.411 0.234 0.645
0.471 0.413 0.884
0.529 0.587 0.116
0.589 0.766 0.355
0.647 0.945 0.587
0.709 0.120 0.823
0.765 0.301 0.057
0.826 0.473 0.293
0.880 0.650 0.530
0.941 0.823 0.764
0.942 0.323 0.763
0.004 0.589 0.833
0.054 0.588 0.405
0.062 0.764 0.067
0.111 0.764 0.638
0.122 0.943 0.305
0.170 0.939 0.874
0.182 0.116 0.539
0.229 0.117 0.109
0.244 0.292 0.774
0.289 0.293 0.344
0.299 0.466 0.010
0.347 0.470 0.579
0.361 0.645 0.245
0.404 0.646 0.815
0.418 0.822 0.481
0.462 0.822 0.050
0.478 0.001 0.714
0.522 0.999 0.286
0.538 0.178 0.950
0.582 0.178 0.519
0.596 0.354 0.185
0.639 0.355 0.755
0.653 0.530 0.421
0.701 0.534 0.990
0.711 0.707 0.656
0.756 0.708 0.226
0.771 0.883 0.891
0.818 0.884 0.461
0.830 0.061 0.126
0.878 0.057 0.695
0.889 0.236 0.362
0.938 0.236 0.933
0.946 0.412 0.595
0.996 0.411 0.167
```

Properties
Formation energy from raw total energies   -0.188 eV/atom
Density of states at the Fermi level   0.549 states/eV/atom
Space-group type   P-1
Density   7.729 g cm⁻³
Raw total energy   -4.7512 eV/atom

=====

A relaxed structure of CoTe, computed with PBE.

POSCAR file:
```
CoTe
1.0
6.992 0.000 0.000
0.000 6.992 0.000
0.000 0.000 6.992
Co Te
6 6
direct
0.000 0.250 0.500
0.000 0.750 0.500
0.250 0.500 0.000
0.500 0.000 0.250
0.500 0.000 0.750
0.750 0.500 0.000
0.000 0.500 0.250
0.000 0.500 0.750
0.250 0.000 0.500
0.500 0.250 0.000
0.500 0.750 0.000
0.750 0.000 0.500
```

Properties
Formation energy from raw total energies   0.287 eV/atom
Density of states at the Fermi level   1.253 states/eV/atom
Space-group type   Pm-3n
Density   5.437 g cm⁻³
Raw total energy   -4.8370 eV/atom

=====

A relaxed structure of CoTe5, computed with PBE.

POSCAR file:
```
CoTe5
1.0
5.727 0.000 0.000
-2.864 4.960 0.000
0.000 0.000 8.410
Co Te
1 5
direct
0.000 0.000 0.000
0.000 0.500 0.500
0.333 0.667 0.000
0.500 0.000 0.500
0.500 0.500 0.500
0.667 0.333 0.000
```

Properties
Formation energy from raw total energies   0.908 eV/atom
Density of states at the Fermi level   1.583 states/eV/atom
Space-group type   P6/mmm
Relative energy among the computed polymorphs   865 meV/atom
Density   4.844 g cm⁻³
Raw total energy   -2.8944 eV/atom

=====

A relaxed structure of Co2Te, computed with PBE.

POSCAR file:
```
Co2Te
1.0
3.217 0.000 0.000
0.000 6.931 0.000
0.000 0.000 4.023
Co Te
4 2
direct
0.250 0.165 0.000
0.250 0.665 0.500
0.750 0.335 0.500
0.750 0.835 0.000
0.000 0.000 0.500
0.500 0.500 0.000
```

Properties
Formation energy from raw total energies   0.410 eV/atom
Density of states at the Fermi level   1.380 states/eV/atom
Space-group type   Pnnm
Relative energy among the computed polymorphs   449 meV/atom
Density   9.089 g cm⁻³
Raw total energy   -5.3744 eV/atom

=====

A relaxed structure of CoTe3, computed with PBE.

POSCAR file:
```
CoTe3
1.0
1.833 1.058 8.497
-1.833 1.058 8.497
0.000 -2.116 8.497
Co Te
1 3
direct
0.000 0.000 0.000
0.279 0.279 0.279
0.500 0.500 0.500
0.721 0.721 0.721
```

Properties
Formation energy from raw total energies   0.004 eV/atom
Density of states at the Fermi level   0.832 states/eV/atom
Space-group type   R-3m
Density   7.420 g cm⁻³
Raw total energy   -4.1286 eV/atom

=====

A relaxed structure of CoTe3, computed with PBE.

POSCAR file:
```
CoTe3
1.0
1.803 -6.054 0.000
1.803 6.054 0.000
0.000 0.000 9.303
Co Te
2 6
direct
0.244 0.756 0.750
0.756 0.244 0.250
0.105 0.895 0.250
0.358 0.642 0.097
0.358 0.642 0.403
0.642 0.358 0.597
0.642 0.358 0.903
0.895 0.105 0.750
```

Properties
Formation energy from raw total energies   0.059 eV/atom
Density of states at the Fermi level   0.662 states/eV/atom
Space-group type   Cmcm
Density   7.225 g cm⁻³
Raw total energy   -4.0738 eV/atom

=====

A relaxed structure of CoTe3, computed with PBE.

POSCAR file:
```
CoTe3
1.0
5.854 0.000 0.000
0.000 5.854 0.000
0.000 0.000 5.854
Co Te
2 6
direct
0.000 0.000 0.000
0.500 0.500 0.500
0.000 0.250 0.500
0.000 0.750 0.500
0.250 0.500 0.000
0.500 0.000 0.250
0.500 0.000 0.750
0.750 0.500 0.000
```

Properties
Formation energy from raw total energies   0.798 eV/atom
Density of states at the Fermi level   1.595 states/eV/atom
Space-group type   Pm-3n
Density   7.312 g cm⁻³
Raw total energy   -3.3351 eV/atom

=====

A relaxed structure of Co4Te3, computed with PBE.

POSCAR file:
```
Co4Te3
1.0
6.236 0.000 0.000
-3.118 5.401 0.000
0.000 0.000 4.151
Co Te
4 3
direct
0.000 0.000 0.249
0.000 0.000 0.751
0.333 0.667 0.000
0.667 0.333 0.000
0.000 0.500 0.500
0.500 0.000 0.500
0.500 0.500 0.500
```

Properties
Formation energy from raw total energies   0.999 eV/atom
Density of states at the Fermi level   2.126 states/eV/atom
Space-group type   P6/mmm
Density   7.346 g cm⁻³
Raw total energy   -4.4079 eV/atom

=====

A relaxed structure of CoTe, computed with PBE.

POSCAR file:
```
CoTe
1.0
3.991 0.000 0.000
0.000 3.223 0.000
0.000 0.000 6.615
Co Te
2 2
direct
0.250 0.000 0.097
0.750 0.000 0.903
0.250 0.500 0.773
0.750 0.500 0.227
```

Properties
Formation energy from raw total energies   0.209 eV/atom
Density of states at the Fermi level   1.186 states/eV/atom
Space-group type   Pmma
Density   7.281 g cm⁻³
Raw total energy   -4.9149 eV/atom